Computed, not measured: Ca5Mg4 after structural relaxation at the GGA-PBE level of DFT.

a = 6.7137 Å, b = 6.7137 Å, c = 10.2877 Å
α = 121.20°, β = 121.20°, γ = 50.60°
Closest atoms and distances in Å follow each position.
Sites, in units of the cell vectors:
1 Ca 0.0000 0.0000 0.0000  6 Mg 3.57-3.69, 8 Ca 3.81-3.90
2 Ca 0.1263 0.1263 0.4443  6 Mg 3.41-3.52, 1 Ca 3.74
3 Ca 0.2424 0.2424 0.8770  4 Mg 3.32-3.43
4 Ca 0.7576 0.7576 0.1230  4 Mg 3.32-3.43
5 Ca 0.8737 0.8737 0.5557  6 Mg 3.41-3.52, 1 Ca 3.74
6 Mg 0.3548 0.3548 0.3453  2 Mg 3.07-3.12, 2 Ca 3.43
7 Mg 0.4624 0.4624 0.7720  1 Mg 3.07, 4 Ca 3.32-3.41
8 Mg 0.5376 0.5376 0.2280  1 Mg 3.07, 4 Ca 3.32-3.41
9 Mg 0.6452 0.6452 0.6547  2 Mg 3.07-3.12, 2 Ca 3.43

The calculation puts the energy relative to the elements at -0.044 eV per atom. The density is 1.7 Mg/m³. Its density of states at the Fermi level is 8.32 states/eV/cell. The symmetry is C2/m.



Computed, not measured: Ca5Mg6 after structural relaxation at the GGA-PBE level of DFT.

a = 5.5437 Å, b = 6.5738 Å, c = 9.6174 Å
α = 89.41°, β = 73.58°, γ = 89.74°
Closest atoms and distances in Å follow each position.
Sites, in units of the cell vectors:
1 Ca 0.0000 0.0000 0.0000  8 Mg 3.37-3.57
2 Ca 0.2623 0.3267 0.4752  5 Mg 3.27-3.43, 2 Ca 3.61-3.63
3 Ca 0.3698 0.8253 0.2588  8 Mg 3.46-3.70, 6 Ca 3.81-3.87
4 Ca 0.6302 0.1747 0.7412  8 Mg 3.46-3.70, 6 Ca 3.81-3.87
5 Ca 0.7377 0.6733 0.5248  5 Mg 3.27-3.43, 2 Ca 3.61-3.63
6 Mg 0.0879 0.4790 0.8299  4 Mg 3.09-3.17, 1 Ca 3.43
7 Mg 0.1781 0.8747 0.6463  1 Mg 3.09, 4 Ca 3.27-3.37
8 Mg 0.4453 0.3070 0.1046  3 Mg 3.17, 3 Ca 3.42-3.47
9 Mg 0.5547 0.6930 0.8954  3 Mg 3.17, 3 Ca 3.42-3.47
10 Mg 0.8219 0.1253 0.3537  1 Mg 3.09, 4 Ca 3.27-3.37
11 Mg 0.9121 0.5210 0.1701  4 Mg 3.09-3.17, 1 Ca 3.43

The calculation puts the energy relative to the elements at -0.046 eV per atom. The density is 1.7 Mg/m³. Its density of states at the Fermi level is 7.98 states/eV/cell. The symmetry is P-1.



Computed, not measured: Ca5Mg after structural relaxation at the GGA-PBE level of DFT.

a = 3.9656 Å, b = 3.9656 Å, c = 14.6817 Å
α = 90.00°, β = 90.00°, γ = 90.00°
Closest atoms and distances in Å follow each position.
Sites, in units of the cell vectors:
1 Ca 0.0000 0.0000 0.0000  12 Ca 3.88-3.97
2 Ca 0.0000 0.0000 0.3664  4 Mg 3.42
3 Ca 0.0000 0.0000 0.6336  4 Mg 3.42
4 Ca 0.5000 0.5000 0.1829  12 Ca 3.88-3.97
5 Ca 0.5000 0.5000 0.8171  12 Ca 3.88-3.97
6 Mg 0.5000 0.5000 0.5000  8 Ca 3.42

The calculation puts the energy relative to the elements at -0.019 eV per atom. The density is 1.6 Mg/m³. Its density of states at the Fermi level is 7.96 states/eV/cell. The symmetry is P4/mmm.



Computed, not measured: Ca4Mg5 after structural relaxation at the GGA-PBE level of DFT.

a = 9.7422 Å, b = 9.7422 Å, c = 6.7300 Å
α = 90.00°, β = 90.00°, γ = 120.00°
Closest atoms and distances in Å follow each position.
Sites, in units of the cell vectors:
1 Ca 0.0000 0.0000 0.0000  2 Ca 3.36, 6 Mg 3.54
2 Ca 0.0000 0.0000 0.5000  2 Ca 3.36, 6 Mg 3.54
3 Ca 0.0000 0.3530 0.2500  9 Mg 3.19-3.58
4 Ca 0.0000 0.6470 0.7500  9 Mg 3.19-3.58
5 Ca 0.3530 0.0000 0.2500  9 Mg 3.19-3.58
6 Ca 0.3530 0.3530 0.7500  9 Mg 3.19-3.58
7 Ca 0.6470 0.0000 0.7500  9 Mg 3.19-3.58
8 Ca 0.6470 0.6470 0.2500  9 Mg 3.19-3.58
9 Mg 0.0000 0.3192 0.7500  7 Ca 3.19-3.54
10 Mg 0.0000 0.6808 0.2500  7 Ca 3.19-3.54
11 Mg 0.3192 0.0000 0.7500  7 Ca 3.19-3.54
12 Mg 0.3192 0.3192 0.2500  7 Ca 3.19-3.54
13 Mg 0.3333 0.6667 0.0000  8 Mg 3.36-3.72, 6 Ca 3.58
14 Mg 0.3333 0.6667 0.5000  8 Mg 3.36-3.72, 6 Ca 3.58
15 Mg 0.6667 0.3333 0.0000  8 Mg 3.36-3.72, 6 Ca 3.58
16 Mg 0.6667 0.3333 0.5000  8 Mg 3.36-3.72, 6 Ca 3.58
17 Mg 0.6808 0.0000 0.2500  7 Ca 3.19-3.54
18 Mg 0.6808 0.6808 0.7500  7 Ca 3.19-3.54

The calculation puts the energy relative to the elements at 0.000 eV per atom. The density is 1.7 Mg/m³. Its density of states at the Fermi level is 18.07 states/eV/cell. The symmetry is P6_3/mcm.



> What is the energy relative to the elements in the second record?

-0.046 eV per atom